SrLa3Fe | GGA-PBEsol | optimized geometry

Lattice parameters (Å, degrees): 5.4662 5.4662 5.4662 90.00 90.00 90.00
With the nearest neighbours (Å) after each atom.
Space group Pm-3m (No. 221)
Inequivalent atoms, fractional coordinates:
Sr 0.0000 0.0000 0.0000  12 La 3.87
La 0.0000 0.5000 0.5000  2 Fe 2.73
Fe 0.5000 0.5000 0.5000  6 La 2.73

Output
Polymorph energy (0 for the lowest one) (eV per atom): 0.000
DFT total energy (eV per atom): -5.271
Fermi-level density of states (states/eV/cell): 4.752
E_form (meV/atom): 97.3